Compound: K2CdCl5
Source: Alexandria via LeMat-Bulk
Functional: GGA-PBE
Structure: optimized geometry

**Raw total energy**: -44.8 eV/cell
**Calculated density**: 2.13 Mg/m³
**Formation energy from raw total energies**: -1.2583 eV/atom

```
data_K2CdCl5
_chemical_formula_sum 'K4 Cd2 Cl10'
_cell_length_a 5.745
_cell_length_b 8.305
_cell_length_c 12.838
_cell_angle_alpha 90.00
_cell_angle_beta 90.00
_cell_angle_gamma 110.24
_space_group_name_H-M_alt 'P 1'
_space_group_IT_number 1
loop_
_space_group_symop_operation_xyz
'x,y,z'
loop_
_atom_site_label
_atom_site_type_symbol
_atom_site_fract_x
_atom_site_fract_y
_atom_site_fract_z
Cl1 Cl 0.962 0.924 0.887
Cl2 Cl 0.321 0.641 0.750
Cl3 Cl 0.725 0.450 0.889
Cl4 Cl 0.725 0.450 0.611
Cl5 Cl 0.679 0.359 0.250
Cl6 Cl 0.275 0.550 0.111
Cl7 Cl 0.962 0.924 0.613
Cl8 Cl 0.275 0.550 0.389
Cl9 Cl 0.038 0.076 0.113
Cl10 Cl 0.038 0.076 0.387
Cd1 Cd 0.842 0.684 0.750
Cd2 Cd 0.158 0.316 0.250
K1 K 0.160 0.320 0.586
K2 K 0.840 0.680 0.414
K3 K 0.160 0.320 0.914
K4 K 0.840 0.680 0.086
```